Compound: Sb2As3
Source: Alexandria via LeMat-Bulk
Functional: PBE-GGA
Structure: optimized geometry

abc: 7.1137 7.1137 19.2700
angles: 90.00 90.00 120.00
Closest atoms and distances in Å follow each position.
Space group R-3c (No. 167, hexagonal axes)
Asymmetric unit:
Sb: 0.0000 0.0000 0.1371 (multiplicity 12)  6 As 2.84-2.88
As: 0.0000 0.2564 0.2500 (multiplicity 18)  4 Sb 2.84-2.88, 2 As 3.16

Magnetization ... 0.00 μB/f.u.
ΔE_f (raw) ... 303 meV/atom
Energy relative to the lowest polymorph listed for this composition ... 142 meV per atom
Energy ... -124.07 eV/cell

=====

Compound: CsCaHgCl5
Source: Alexandria via LeMat-Bulk
Functional: PBE-GGA
Structure: optimized geometry

abc: 9.3866 12.7129 10.1854
angles: 90.00 112.53 90.00
Closest atoms and distances in Å follow each position.
Space group C2/c (No. 15)
Asymmetric unit:
Cs: 0.0000 0.1626 0.2500 (multiplicity 4)  7 Cl 3.46-3.69
Ca: 0.0000 0.5000 0.0000 (multiplicity 4)  6 Cl 2.68-2.83
Hg: 0.0000 0.1872 0.7500 (multiplicity 4)  4 Cl 2.54-2.57
Cl: 0.0000 0.4348 0.2500 (multiplicity 4)  2 Ca 2.68
Cl: 0.1025 0.2961 0.5961 (multiplicity 8)  1 Hg 2.54, 1 Ca 2.81
Cl: 0.1923 0.0651 0.9348 (multiplicity 8)  1 Hg 2.57, 1 Ca 2.83

Magnetization ... 0.00 μB/f.u.
ΔE_f (raw) ... -1636 meV/atom
Energy ... -101.92 eV/cell

=====

Compound: Cs2Rb2Li
Source: Alexandria via LeMat-Bulk
Functional: PBE-GGA
Structure: optimized geometry

abc: 10.4560 10.4560 7.9616
angles: 90.00 90.00 90.00
Closest atoms and distances in Å follow each position.
Space group P4/mbm (No. 127)
Asymmetric unit:
Cs: 0.1808 0.3192 0.0000 (multiplicity 4)  2 Rb 4.68
Rb: 0.1524 0.6524 0.5000 (multiplicity 4)  2 Li 3.97
Li: 0.0000 0.0000 0.5000 (multiplicity 2)  4 Rb 3.97

Magnetization ... 0.00 μB/f.u.
Energy relative to the lowest polymorph listed for this composition ... 0 meV per atom
Energy ... -9.81 eV/cell
Energy of formation from the pure elements ... 0.13 eV per atom

=====

Compound: Sr2AcBi3
Source: Alexandria via LeMat-Bulk
Functional: PBE-GGA
Structure: optimized geometry

abc: 5.5724 6.9301 12.2218
angles: 90.00 90.00 90.00
Closest atoms and distances in Å follow each position.
Space group Immm (No. 71)
Asymmetric unit:
Sr: 0.0000 0.0000 0.1636 (multiplicity 4)  6 Bi 3.43-3.48
Ac: 0.0000 0.0000 0.5000 (multiplicity 2)  6 Bi 3.44-3.47
Bi: 0.0000 0.5000 0.1655 (multiplicity 4)  2 Ac 3.44, 4 Sr 3.47-3.48
Bi: 0.0000 0.5000 0.5000 (multiplicity 2)  4 Sr 3.43, 2 Ac 3.47

Magnetization ... 0.00 μB/f.u.
Energy ... -47.35 eV/cell
Energy of formation from the pure elements ... -0.76 eV per atom

=====

Compound: MgSc2Pa
Source: Alexandria via LeMat-Bulk
Functional: PBE-GGA
Structure: optimized geometry

abc: 3.2616 3.2616 31.4622
angles: 90.00 90.00 120.00
Closest atoms and distances in Å follow each position.
Space group R-3m (No. 166, hexagonal axes)
Asymmetric unit:
Mg: 0.0000 0.0000 0.0000 (multiplicity 3)  6 Sc 3.25, 6 Mg 3.26
Sc: 0.0000 0.0000 0.2491 (multiplicity 6)  3 Pa 3.20, 3 Mg 3.25, 6 Sc 3.26
Pa: 0.0000 0.0000 0.5000 (multiplicity 3)  6 Sc 3.20, 6 Pa 3.26

Magnetization ... 0.00 μB/f.u.
Energy relative to the lowest polymorph listed for this composition ... 0 meV per atom
Energy ... -71.02 eV/cell
Energy of formation from the pure elements ... 0.02 eV per atom

=====

Compound: NdPaTc4
Source: Alexandria via LeMat-Bulk
Functional: PBE-GGA
Structure: optimized geometry

abc: 7.6837 7.6837 7.6837
angles: 90.00 90.00 90.00
Closest atoms and distances in Å follow each position.
Space group F-43m (No. 216)
Asymmetric unit:
Nd: 0.0000 0.0000 0.0000 (multiplicity 4)  12 Tc 3.19, 4 Pa 3.33
Pa: 0.2500 0.2500 0.7500 (multiplicity 4)  12 Tc 3.19, 4 Nd 3.33
Tc: 0.1250 0.1250 0.3750 (multiplicity 16)  6 Tc 2.72

Magnetization ... 0.00 μB/f.u.
Energy ... -222.93 eV/cell
Energy of formation from the pure elements ... 0.00 eV per atom